# 1
Tb8Ga2Te | GGA-PBE | optimized geometry

Values from the calculation:
* symmetry: C2/m, No. 12
* DOS(E_F): 13.3 states/eV/f.u.
* energy relative to the elements, uncorrected: -0.391 eV per atom
* total magnetic moment: 0.0001 μB per atom
* calculated density: 8.1 g/cm³

Cell: 4.846 6.893 10.014 Å, 102.06 104.00 90.00°
Element x y z (fractional)
Tb (0.402, 0.528, 0.804)
Tb (0.663, 0.988, 0.327)
Tb (0.785, 0.674, 0.570)
Tb (0.968, 0.241, 0.936)
Tb (0.215, 0.326, 0.430)
Tb (0.337, 0.012, 0.673)
Tb (0.598, 0.472, 0.196)
Tb (0.032, 0.759, 0.064)
Ga (0.814, 0.250, 0.628)
Ga (0.186, 0.750, 0.372)
Te (0.500, 0.000, 0.000)

***

# 2
GdGaH | GGA-PBE | optimized geometry

Values from the calculation:
* symmetry: I4mm, No. 107
* DOS(E_F): 1.9 states/eV/f.u.
* relative energy among the computed polymorphs: 81 meV per atom
* total magnetic moment: 2.5501 μB per atom
* calculated density: 6.9 g/cm³

Cell: 3.168 3.168 5.893 Å, 105.59 105.59 90.00°
Each line ends with the local moment (μB).
Element x y z (fractional)
H (0.064, 0.064, 0.128)  -0.02
Gd (0.609, 0.609, 0.217)  7.32
Ga (0.327, 0.327, 0.655)  0.04

***

# 3
TbGd3S | GGA-PBE | optimized geometry

Values from the calculation:
* symmetry: Pm-3m, No. 221
* DOS(E_F): 7.7 states/eV/f.u.
* energy relative to the elements, uncorrected: -0.660 eV per atom
* total magnetic moment: 4.5341 μB per atom
* calculated density: 7.1 g/cm³

Cell: 5.373 5.373 5.373 Å, 90.00 90.00 90.00°
Each line ends with the local moment (μB).
Element x y z (fractional)
S (0.000, 0.000, 0.000)  -0.05
Gd (0.000, 0.500, 0.000)  7.16
Gd (0.000, 0.000, 0.500)  7.16
Gd (0.500, 0.000, 0.000)  7.16
Tb (0.500, 0.500, 0.500)  0.15

***

# 4
Y3GaCo | GGA-PBE | optimized geometry

Values from the calculation:
* E_form: -0.093 eV/atom
* symmetry: Pm-3m, No. 221
* DOS(E_F): 5.6 states/eV/f.u.
* relative energy among the computed polymorphs: 237 meV per atom
* total magnetic moment: 0.0000 μB per atom
* calculated density: 4.9 g/cm³

Cell: 5.116 5.116 5.116 Å, 90.00 90.00 90.00°
Element x y z (fractional)
Y (0.000, 0.500, 0.000)
Y (0.000, 0.000, 0.500)
Y (0.500, 0.000, 0.000)
Co (0.000, 0.000, 0.000)
Ga (0.500, 0.500, 0.500)

***

# 5
Rb3TaTc | GGA-PBE | optimized geometry

Values from the calculation:
* E_form: 2.370 eV/atom
* symmetry: Pm-3m, No. 221
* DOS(E_F): 20.3 states/eV/f.u.
* relative energy among the computed polymorphs: 0 meV per atom
* total magnetic moment: 1.8502 μB per atom
* calculated density: 2.7 g/cm³

Cell: 6.880 6.880 6.880 Å, 90.00 90.00 90.00°
Each line ends with the local moment (μB).
Element x y z (fractional)
Tc (0.500, 0.500, 0.500)  3.63
Rb (0.000, 0.500, 0.000)  0.04
Rb (0.000, 0.000, 0.500)  0.04
Rb (0.500, 0.000, 0.000)  0.05
Ta (0.000, 0.000, 0.000)  2.49

***

# 6
ZnSiNi4 | GGA-PBE | optimized geometry

Values from the calculation:
* symmetry: C2/m, No. 12
* DOS(E_F): 3.2 states/eV/f.u.
* energy relative to the elements, uncorrected: -0.279 eV per atom
* total magnetic moment: 0.0000 μB per atom
* calculated density: 8.1 g/cm³

Cell: 4.272 7.683 4.256 Å, 90.00 104.54 90.00°
Element x y z (fractional)
Zn (0.500, 0.000, 0.500)
Zn (0.000, 0.500, 0.500)
Si (0.000, 0.000, 0.000)
Si (0.500, 0.500, 0.000)
Ni (0.001, 0.665, 0.000)
Ni (0.499, 0.165, 0.000)
Ni (0.500, 0.339, 0.499)
Ni (0.000, 0.839, 0.501)
Ni (0.999, 0.335, 0.000)
Ni (0.501, 0.835, 0.000)
Ni (0.500, 0.661, 0.501)
Ni (0.000, 0.161, 0.499)

***

# 7
TmSc3Pt4 | GGA-PBE | optimized geometry

Values from the calculation:
* E_form: -1.242 eV/atom
* symmetry: Pmma, No. 51
* DOS(E_F): 3.7 states/eV/f.u.
* total magnetic moment: 0.0000 μB per atom
* calculated density: 12.1 g/cm³

Cell: 4.771 6.540 9.542 Å, 90.00 90.00 90.00°
Element x y z (fractional)
Sc (0.000, 0.000, 0.000)
Sc (0.000, 0.000, 0.500)
Sc (0.502, 0.000, 0.750)
Sc (0.498, 0.000, 0.250)
Sc (0.501, 0.500, 0.750)
Sc (0.499, 0.500, 0.250)
Tm (0.000, 0.500, 0.000)
Tm (0.000, 0.500, 0.500)
Pt (0.500, 0.758, 0.000)
Pt (0.500, 0.758, 0.500)
Pt (0.500, 0.242, 0.000)
Pt (0.500, 0.242, 0.500)
Pt (0.003, 0.758, 0.750)
Pt (0.997, 0.758, 0.250)
Pt (0.997, 0.242, 0.250)
Pt (0.003, 0.242, 0.750)

***

# 8
ReNiAu2 | GGA-PBE | optimized geometry

Values from the calculation:
* E_form: 0.472 eV/atom
* symmetry: Cmmm, No. 65
* DOS(E_F): 6.4 states/eV/f.u.
* relative energy among the computed polymorphs: 302 meV per atom
* total magnetic moment: 0.2342 μB per atom
* calculated density: 17.0 g/cm³

Cell: 4.954 4.954 2.710 Å, 89.98 89.98 110.53°
Each line ends with the local moment (μB).
Element x y z (fractional)
Au (0.000, 0.000, 0.000)  0.05
Au (0.500, 0.500, 0.000)  0.05
Ni (0.500, 0.000, 0.500)  0.50
Re (0.000, 0.500, 0.500)  0.31

***

# 9
Hf2SiSF | GGA-PBE | optimized geometry

Values from the calculation:
* symmetry: P4/mmm, No. 123
* DOS(E_F): 4.0 states/eV/f.u.
* energy relative to the elements, uncorrected: -0.282 eV per atom
* total magnetic moment: 0.0000 μB per atom
* calculated density: 7.6 g/cm³

Cell: 5.159 3.602 5.159 Å, 90.00 90.00 90.00°
Element x y z (fractional)
S (0.500, 0.500, 0.500)
Hf (0.000, 0.000, 0.500)
Hf (0.500, 0.000, 0.000)
Si (0.000, 0.000, 0.000)
F (0.000, 0.500, 0.000)

***

# 10
POsRh2 | GGA-PBE | optimized geometry

Values from the calculation:
* E_form: 0.126 eV/atom
* symmetry: I-4m2, No. 119
* DOS(E_F): 2.9 states/eV/f.u.
* total magnetic moment: 0.0000 μB per atom
* calculated density: 12.9 g/cm³

Cell: 4.490 4.490 4.490 Å, 127.89 127.89 76.81°
Element x y z (fractional)
P (0.750, 0.250, 0.500)
Os (0.500, 0.500, 0.000)
Rh (0.000, 0.000, 0.000)
Rh (0.250, 0.750, 0.500)

***

# 11
Y2MoRh | GGA-PBE | optimized geometry

Values from the calculation:
* E_form: -0.071 eV/atom
* symmetry: P4/mmm, No. 123
* DOS(E_F): 3.2 states/eV/f.u.
* total magnetic moment: 0.4782 μB per atom
* calculated density: 7.4 g/cm³

Cell: 4.970 4.972 3.422 Å, 90.00 90.00 90.00°
Each line ends with the local moment (μB).
Element x y z (fractional)
Mo (0.500, 0.000, 0.500)  1.40
Rh (0.000, 0.500, 0.500)  0.07
Y (0.000, 0.000, 0.000)  0.07
Y (0.500, 0.500, 0.000)  0.07

***

# 12
Cd2PdPt8 | GGA-PBE | optimized geometry

Values from the calculation:
* E_form: -0.029 eV/atom
* symmetry: Imm2, No. 44
* DOS(E_F): 14.1 states/eV/f.u.
* total magnetic moment: 0.0000 μB per atom
* calculated density: 16.7 g/cm³

Cell: 4.182 7.329 7.329 Å, 107.16 73.45 73.45°
Element x y z (fractional)
Cd (0.818, 0.520, 0.214)
Cd (0.818, 0.214, 0.520)
Pd (0.767, 0.918, 0.918)
Pt (0.551, 0.313, 0.954)
Pt (0.551, 0.954, 0.313)
Pt (0.317, 0.369, 0.369)
Pt (0.044, 0.485, 0.797)
Pt (0.044, 0.797, 0.485)
Pt (0.529, 0.656, 0.656)
Pt (0.281, 0.068, 0.740)
Pt (0.281, 0.740, 0.068)

***

# 13
TcSnTe2O | GGA-PBE | optimized geometry

Values from the calculation:
* symmetry: P4/mmm, No. 123
* DOS(E_F): 4.4 states/eV/f.u.
* energy relative to the elements, uncorrected: 0.197 eV per atom
* total magnetic moment: 0.0000 μB per atom
* calculated density: 7.0 g/cm³

Cell: 5.620 3.685 5.620 Å, 90.00 90.00 90.00°
Element x y z (fractional)
Te (0.000, 0.000, 0.500)
Te (0.500, 0.000, 0.000)
Sn (0.500, 0.500, 0.500)
O (0.000, 0.000, 0.000)
Tc (0.000, 0.500, 0.000)

***

# 14
BaUP | GGA-PBE | optimized geometry

Values from the calculation:
* E_form: -0.099 eV/atom
* symmetry: Amm2, No. 38
* DOS(E_F): 5.6 states/eV/f.u.
* total magnetic moment: 0.5977 μB per atom
* calculated density: 6.2 g/cm³

Cell: 4.299 4.302 13.522 Å, 90.00 90.00 119.98°
Each line ends with the local moment (μB).
Element x y z (fractional)
P (0.612, 0.225, 0.000)  -0.03
P (0.277, 0.553, 0.500)  0.01
Ba (0.610, 0.220, 0.361)  0.03
Ba (0.610, 0.220, 0.639)  0.03
U (0.279, 0.558, 0.912)  1.37
U (0.279, 0.558, 0.088)  1.37

***

# 15
Sr6Hg2S | GGA-PBE | optimized geometry

Values from the calculation:
* symmetry: P2_1/c, No. 14
* DOS(E_F): 8.7 states/eV/f.u.
* energy relative to the elements, uncorrected: -0.688 eV per atom
* total magnetic moment: 0.0000 μB per atom
* calculated density: 4.4 g/cm³

Cell: 7.505 8.531 11.222 Å, 90.00 88.22 90.00°
Element x y z (fractional)
Sr (0.137, 0.037, 0.251)
Sr (0.160, 0.312, 0.564)
Sr (0.175, 0.319, 0.938)
Sr (0.325, 0.819, 0.562)
Sr (0.340, 0.812, 0.936)
Sr (0.363, 0.537, 0.249)
Sr (0.863, 0.963, 0.749)
Sr (0.840, 0.688, 0.436)
Sr (0.825, 0.681, 0.062)
Sr (0.675, 0.181, 0.438)
Sr (0.660, 0.188, 0.064)
Sr (0.637, 0.463, 0.751)
Hg (0.049, 0.609, 0.754)
Hg (0.451, 0.109, 0.746)
Hg (0.549, 0.891, 0.254)
Hg (0.951, 0.391, 0.246)
S (0.500, 0.500, 0.000)
S (0.000, 0.000, 0.500)

***

# 16
SrTeI2O | GGA-PBE | optimized geometry

Values from the calculation:
* symmetry: P4/mmm, No. 123
* DOS(E_F): 9.9 states/eV/f.u.
* energy relative to the elements, uncorrected: 0.189 eV per atom
* relative energy among the computed polymorphs: 876 meV per atom
* total magnetic moment: 0.3874 μB per atom
* calculated density: 2.9 g/cm³

Cell: 6.353 6.353 6.794 Å, 90.00 90.00 90.00°
Each line ends with the local moment (μB).
Element x y z (fractional)
I (0.000, 0.500, 0.000)  0.14
I (0.500, 0.000, 0.000)  0.14
Sr (0.000, 0.000, 0.000)  -0.01
Te (0.000, 0.000, 0.500)  0.91
O (0.500, 0.500, 0.500)  -0.19

***

# 17
CaTc3Rh | GGA-PBE | optimized geometry

Values from the calculation:
* E_form: 1.352 eV/atom
* symmetry: Pm-3m, No. 221
* DOS(E_F): 7.3 states/eV/f.u.
* relative energy among the computed polymorphs: 0 meV per atom
* total magnetic moment: 0.1830 μB per atom
* calculated density: 6.8 g/cm³

Cell: 4.741 4.741 4.741 Å, 90.00 90.00 90.00°
Each line ends with the local moment (μB).
Element x y z (fractional)
Ca (0.500, 0.500, 0.500)  0.00
Rh (0.000, 0.000, 0.000)  -0.03
Tc (0.000, 0.500, 0.000)  0.33
Tc (0.000, 0.000, 0.500)  0.26
Tc (0.500, 0.000, 0.000)  0.27

***

# 18
MgIrPb2 | GGA-PBE | optimized geometry

Values from the calculation:
* E_form: 0.272 eV/atom
* symmetry: Pmmm, No. 47
* DOS(E_F): 2.0 states/eV/f.u.
* total magnetic moment: 0.0000 μB per atom
* calculated density: 11.8 g/cm³

Cell: 4.289 4.993 4.139 Å, 90.00 90.00 90.00°
Element x y z (fractional)
Ir (0.500, 0.000, 0.500)
Mg (0.000, 0.500, 0.500)
Pb (0.000, 0.000, 0.000)
Pb (0.500, 0.500, 0.000)

***

# 19
KTeBr2 | GGA-PBE | optimized geometry

Values from the calculation:
* symmetry: Cmmm, No. 65
* DOS(E_F): 1.7 states/eV/f.u.
* energy relative to the elements, uncorrected: -0.571 eV per atom
* relative energy among the computed polymorphs: 217 meV per atom
* total magnetic moment: 0.0000 μB per atom
* calculated density: 3.1 g/cm³

Cell: 5.200 5.200 7.762 Å, 90.00 90.00 123.92°
Element x y z (fractional)
Br (0.000, 0.000, 0.973)
Br (0.000, 0.000, 0.527)
K (0.500, 0.500, 0.250)
Te (0.500, 0.500, 0.750)

***

# 20
KHg4I | GGA-PBE | optimized geometry

Values from the calculation:
* symmetry: F-43m, No. 216
* DOS(E_F): 0.1 states/eV/f.u.
* energy relative to the elements, uncorrected: -0.378 eV per atom
* total magnetic moment: 0.0000 μB per atom
* calculated density: 7.7 g/cm³

Cell: 6.664 6.664 6.664 Å, 60.00 60.00 60.00°
Element x y z (fractional)
I (0.000, 0.000, 0.000)
K (0.250, 0.250, 0.250)
Hg (0.626, 0.626, 0.122)
Hg (0.626, 0.122, 0.626)
Hg (0.626, 0.626, 0.626)
Hg (0.122, 0.626, 0.626)

***

# 21
TcRu2Br | GGA-PBE | optimized geometry

Values from the calculation:
* symmetry: P4/mmm, No. 123
* DOS(E_F): 5.9 states/eV/f.u.
* energy relative to the elements, uncorrected: 0.957 eV per atom
* relative energy among the computed polymorphs: 417 meV per atom
* total magnetic moment: 0.2353 μB per atom
* calculated density: 10.2 g/cm³

Cell: 4.632 4.632 2.876 Å, 90.00 90.00 90.00°
Each line ends with the local moment (μB).
Element x y z (fractional)
Ru (0.000, 0.000, 0.000)  0.39
Ru (0.500, 0.500, 0.000)  0.39
Tc (0.500, 0.000, 0.500)  0.12
Br (0.000, 0.500, 0.500)  0.01

***

# 22
LaNb3Re | GGA-PBE | optimized geometry

Values from the calculation:
* E_form: 2.298 eV/atom
* symmetry: Pm-3m, No. 221
* DOS(E_F): 4.5 states/eV/f.u.
* relative energy among the computed polymorphs: 1577 meV per atom
* total magnetic moment: 0.0000 μB per atom
* calculated density: 9.1 g/cm³

Cell: 4.793 4.793 4.793 Å, 90.00 90.00 90.00°
Element x y z (fractional)
Re (0.500, 0.500, 0.500)
Nb (0.000, 0.500, 0.000)
Nb (0.000, 0.000, 0.500)
Nb (0.500, 0.000, 0.000)
La (0.000, 0.000, 0.000)

***

# 23
Cs3InCo | GGA-PBE | optimized geometry

Values from the calculation:
* E_form: 0.851 eV/atom
* symmetry: Pm-3m, No. 221
* DOS(E_F): 13.3 states/eV/f.u.
* total magnetic moment: 0.0773 μB per atom
* calculated density: 3.8 g/cm³

Cell: 6.328 6.328 6.328 Å, 90.00 90.00 90.00°
Each line ends with the local moment (μB).
Element x y z (fractional)
Cs (0.000, 0.500, 0.000)  0.01
Cs (0.000, 0.000, 0.500)  0.01
Cs (0.500, 0.000, 0.000)  0.01
Co (0.000, 0.000, 0.000)  -0.04
In (0.500, 0.500, 0.500)  0.07

***

# 24
PaTaTiCr | GGA-PBE | optimized geometry

Values from the calculation:
* E_form: 0.144 eV/atom
* symmetry: F-43m, No. 216
* DOS(E_F): 5.6 states/eV/f.u.
* total magnetic moment: 0.0001 μB per atom
* calculated density: 12.1 g/cm³

Cell: 4.633 4.633 4.633 Å, 60.00 60.00 60.00°
Element x y z (fractional)
Cr (0.500, 0.500, 0.500)
Pa (0.250, 0.250, 0.250)
Ti (0.000, 0.000, 0.000)
Ta (0.750, 0.750, 0.750)

***

# 25
ReH3O | GGA-PBE | optimized geometry

Values from the calculation:
* symmetry: Pm-3m, No. 221
* DOS(E_F): 3.5 states/eV/f.u.
* relative energy among the computed polymorphs: 0 meV per atom
* total magnetic moment: 0.3179 μB per atom
* calculated density: 8.5 g/cm³

Cell: 3.419 3.419 3.419 Å, 90.00 90.00 90.00°
Each line ends with the local moment (μB).
Element x y z (fractional)
Re (0.000, 0.000, 0.000)  1.60
O (0.500, 0.500, 0.500)  -0.07
H (0.000, 0.500, 0.000)  -0.02
H (0.000, 0.000, 0.500)  -0.02
H (0.500, 0.000, 0.000)  -0.02

***

# 26
Pu2MgPt | GGA-PBE | optimized geometry

Values from the calculation:
* E_form: 0.083 eV/atom
* symmetry: R-3m, No. 166
* DOS(E_F): 10.5 states/eV/f.u.
* total magnetic moment: 2.4941 μB per atom
* calculated density: 13.4 g/cm³

Cell: 2.966 2.966 11.620 Å, 82.67 82.67 60.00°
Each line ends with the local moment (μB).
Element x y z (fractional)
Mg (0.000, 0.000, 0.000)  0.00
Pt (0.500, 0.500, 0.500)  0.04
Pu (0.093, 0.093, 0.720)  4.84
Pu (0.907, 0.907, 0.280)  4.84

***

# 27
NbRh3S | GGA-PBE | optimized geometry

Values from the calculation:
* symmetry: Pm-3m, No. 221
* DOS(E_F): 7.5 states/eV/f.u.
* energy relative to the elements, uncorrected: 1.257 eV per atom
* relative energy among the computed polymorphs: 957 meV per atom
* total magnetic moment: 0.0000 μB per atom
* calculated density: 6.8 g/cm³

Cell: 4.729 4.729 4.729 Å, 90.00 90.00 90.00°
Element x y z (fractional)
Nb (0.000, 0.000, 0.000)
Rh (0.000, 0.500, 0.000)
Rh (0.000, 0.000, 0.500)
Rh (0.500, 0.000, 0.000)
S (0.500, 0.500, 0.500)